Below is crystalline LiV2Pd9 at its relaxed geometry, with properties calculated at the GGA-PBE level.

Geometry as extended XYZ:
```
12
Lattice="-2.427 2.813 -1.178 -2.546 -1.040 2.762 5.015 7.435 7.422" Properties=species:S:1:pos:R:3 pbc="T T T"
V 3.392 5.029 5.020
V 1.623 2.406 2.402
Pd -2.486 0.887 0.792
Pd 1.294 5.124 3.122
Pd -0.797 3.391 3.292
Pd -0.407 0.764 2.663
Pd 2.876 5.631 7.521
Pd 1.235 3.198 5.092
Pd 0.840 5.818 5.715
Li 0.000 0.000 0.000
Pd -0.347 2.690 0.693
Pd 2.936 7.558 5.551
```

Results
E_form, eV/atom: -0.2677
Size of the total moment, μB/cell: 0.0
D(E_F), states/eV/atom: 0.53

Below is crystalline BaSrTl2 at its relaxed geometry, with properties calculated at the GGA-PBE level.

Geometry as extended XYZ:
```
4
Lattice="7.099 0.050 0.015 3.441 6.210 -0.015 -4.701 -4.088 3.405" Properties=species:S:1:pos:R:3 pbc="T T T"
Tl 10.219 6.070 0.000
Tl 4.109 -0.291 1.710
Ba 5.513 3.274 0.000
Sr 1.808 2.509 1.695
```

Results
E_form, eV/atom: -0.3098
Size of the total moment, μB/cell: 0.0
D(E_F), states/eV/atom: 0.94

Below is crystalline Ac2Al2Pd at its relaxed geometry, with properties calculated at the GGA-PBE level.

Geometry as extended XYZ:
```
5
Lattice="-0.607 3.060 3.105 -2.709 -2.723 2.153 6.874 -1.246 2.573" Properties=species:S:1:pos:R:3 pbc="T T T"
Ac 0.647 -2.307 2.400
Al -1.593 0.138 2.672
Al 3.105 -0.080 3.806
Pd 0.938 0.943 2.374
Ac 3.430 -3.622 4.240
```

Results
E_form, eV/atom: -0.4938
Size of the total moment, μB/cell: 0.0
D(E_F), states/eV/atom: 0.85

Below is crystalline TmHf2Pa at its relaxed geometry, with properties calculated at the GGA-PBE level.

Geometry as extended XYZ:
```
4
Lattice="-1.389 3.210 -2.927 -1.927 -3.277 -2.679 -3.988 0.421 2.354" Properties=species:S:1:pos:R:3 pbc="T T T"
Hf -0.964 -1.638 -1.339
Tm -3.652 0.177 -1.626
Pa -0.694 1.605 -1.464
Hf -1.994 0.211 1.177
```

Results
E_form, eV/atom: 0.1932
Size of the total moment, μB/cell: 0.0
Relative energy among the computed polymorphs, eV per formula unit: 0.168
D(E_F), states/eV/atom: 1.65

Below is crystalline Ta4SiNi at its relaxed geometry, with properties calculated at the GGA-PBE level.

Geometry as extended XYZ:
```
6
Lattice="0.000 3.790 3.790 3.790 0.000 3.790 3.790 3.790 0.000" Properties=species:S:1:pos:R:3 pbc="T T T"
Ta 4.740 2.839 2.839
Si 0.000 0.000 0.000
Ta 2.839 4.740 2.839
Ta 4.740 4.740 4.740
Ni 1.895 1.895 1.895
Ta 2.839 2.839 4.740
```

Results
Raw formation energy, eV/atom: 0.66
Size of the total moment, μB/cell: 0.0
D(E_F), states/eV/atom: 1.01

Below is crystalline ScSbHRh2 at its relaxed geometry, with properties calculated at the GGA-PBE level.

Geometry as extended XYZ:
```
5
Lattice="4.130 0.000 0.000 0.000 4.130 0.000 0.000 0.000 4.122" Properties=species:S:1:pos:R:3 pbc="T T T"
Rh 0.000 2.065 0.000
H 0.000 0.000 0.000
Sc 0.000 0.000 2.061
Sb 2.065 2.065 2.061
Rh 2.065 0.000 0.000
```

Results
Size of the total moment, μB/cell: 0.0
Total DFT energy (no corrections), eV per formula unit: -31.4
D(E_F), states/eV/atom: 0.70

Below is crystalline K2BaPb2 at its relaxed geometry, with properties calculated at the GGA-PBE level.

Geometry as extended XYZ:
```
5
Lattice="5.194 0.000 0.000 0.000 5.194 0.000 2.597 2.597 8.094" Properties=species:S:1:pos:R:3 pbc="T T T"
Pb 2.597 2.597 1.461
Ba 0.000 0.000 0.000
Pb 5.194 5.194 6.634
K 2.597 5.194 4.047
K 5.194 2.597 4.047
```

Results
E_form, eV/atom: -0.2279
Size of the total moment, μB/cell: 0.0
Relative energy among the computed polymorphs, eV per formula unit: 0.000
D(E_F), states/eV/atom: 0.48

Below is crystalline BeP2S2 at its relaxed geometry, with properties calculated at the GGA-PBE level.

Geometry as extended XYZ:
```
5
Lattice="-2.360 -3.487 -0.263 2.308 -1.315 -3.277 2.705 -2.037 2.722" Properties=species:S:1:pos:R:3 pbc="T T T"
P 1.353 -1.018 1.361
Be 0.000 0.000 0.000
S 1.154 -0.657 -1.639
P 1.327 -3.419 -0.409
S -1.180 -1.743 -0.132
```

Results
Raw formation energy, eV/atom: 0.72
Size of the total moment, μB/cell: 0.0
Relative energy among the computed polymorphs, eV per formula unit: 0.000
D(E_F), states/eV/atom: 0.67

Below is crystalline CaAgOs2 at its relaxed geometry, with properties calculated at the GGA-PBE level.

Geometry as extended XYZ:
```
4
Lattice="2.932 0.000 0.000 0.000 2.932 0.000 0.000 0.000 8.374" Properties=species:S:1:pos:R:3 pbc="T T T"
Os 0.000 0.000 0.328
Os 1.466 1.466 1.870
Ca 1.466 1.466 6.423
Ag 0.000 0.000 3.940
```

Results
E_form, eV/atom: 0.3285
Size of the total moment, μB/cell: 0.0
Relative energy among the computed polymorphs, eV per formula unit: 0.000
D(E_F), states/eV/atom: 0.91

Below is crystalline ZrMoP at its relaxed geometry, with properties calculated at the GGA-PBE level.

Geometry as extended XYZ:
```
3
Lattice="2.087 -3.615 0.000 2.087 3.615 0.000 0.000 0.000 3.477" Properties=species:S:1:pos:R:3 pbc="T T T"
Zr 2.087 1.205 2.258
P 2.087 -1.205 0.604
Mo 0.000 0.000 0.616
```

Results
E_form, eV/atom: -0.3749
Size of the total moment, μB/cell: 0.0
Relative energy among the computed polymorphs, eV per formula unit: 1.842
D(E_F), states/eV/atom: 0.84

Below is crystalline Mg2MnP at its relaxed geometry, with properties calculated at the GGA-PBE level.

Geometry as extended XYZ:
```
4
Lattice="5.136 0.003 0.000 2.200 4.641 0.000 -3.668 -2.322 2.745" Properties=species:S:1:pos:R:3 pbc="T T T"
Mn 3.668 2.322 0.000
P 2.568 0.001 1.372
Mg 1.100 2.320 1.372
Mg 0.000 0.000 0.000
```

Results
E_form, eV/atom: -0.0238
Size of the total moment, μB/cell: 3.2
D(E_F), states/eV/atom: 0.36

Below is crystalline Tm6InPb2Se3 at its relaxed geometry, with properties calculated at the GGA-PBE level.

Geometry as extended XYZ:
```
12
Lattice="3.936 0.000 0.000 0.000 8.963 -0.503 -1.968 -3.469 8.987" Properties=species:S:1:pos:R:3 pbc="T T T"
Pb 0.000 1.653 2.649
Tm 0.000 1.368 5.840
Tm 1.968 4.126 2.644
Se 1.968 -0.685 5.846
Se 1.968 4.482 -0.251
Tm 1.968 -0.746 3.064
Tm 1.968 -0.982 8.629
Pb 1.968 3.841 5.835
Tm 0.000 6.476 -0.145
Tm 0.000 6.240 5.420
In 1.968 0.000 0.000
Se 0.000 6.179 2.638
```

Results
Raw formation energy, eV/atom: -1.03
Size of the total moment, μB/cell: 0.0
D(E_F), states/eV/atom: 0.37

Below is crystalline Ac3VP2N8 at its relaxed geometry, with properties calculated at the GGA-PBE level.

Geometry as extended XYZ:
```
14
Lattice="-3.270 4.172 1.514 0.146 -4.619 3.007 5.277 2.715 3.914" Properties=species:S:1:pos:R:3 pbc="T T T"
N 1.295 -2.225 4.036
N 3.073 3.919 5.871
N 0.859 4.494 4.398
N 2.453 2.460 3.660
Ac 2.559 0.139 5.143
P 1.890 3.311 4.994
N 1.224 0.026 2.571
V 2.639 1.358 1.957
N -0.919 -1.651 2.563
N -0.299 -0.192 4.774
P 0.264 -1.042 3.441
Ac 0.000 0.000 0.000
N 0.930 2.243 5.864
Ac -0.405 2.130 3.292
```

Results
Raw formation energy, eV/atom: -1.01
Size of the total moment, μB/cell: 0.1
D(E_F), states/eV/atom: 0.26

Below is crystalline Tl3Sb2Pb3 at its relaxed geometry, with properties calculated at the GGA-PBE level.

Geometry as extended XYZ:
```
16
Lattice="5.557 0.000 0.000 -2.779 5.902 0.000 0.000 0.000 16.277" Properties=species:S:1:pos:R:3 pbc="T T T"
Sb 2.779 3.274 10.004
Tl 2.779 5.137 6.308
Tl 0.000 0.765 14.446
Tl 0.000 0.765 9.969
Pb 0.000 4.800 4.069
Pb 2.779 1.103 12.208
Pb 0.000 4.380 8.799
Sb 0.000 2.629 6.273
Pb 0.000 4.380 15.616
Tl 2.779 2.371 4.069
Tl 2.779 5.137 1.831
Sb 0.000 2.629 1.866
Pb 2.779 1.522 7.478
Pb 2.779 1.522 0.661
Tl 0.000 3.531 12.208
Sb 2.779 3.274 14.411
```

Results
Raw formation energy, eV/atom: 0.01
Size of the total moment, μB/cell: 0.0
Relative energy among the computed polymorphs, eV per formula unit: 0.000
D(E_F), states/eV/atom: 0.41

Below is crystalline ScCuRu3 at its relaxed geometry, with properties calculated at the GGA-PBE level.

Geometry as extended XYZ:
```
5
Lattice="4.594 0.000 0.000 0.000 4.594 0.000 0.000 0.000 4.594" Properties=species:S:1:pos:R:3 pbc="T T T"
Cu 2.297 2.297 2.297
Ru 0.000 0.000 2.297
Sc 0.000 0.000 0.000
Ru 0.000 2.297 0.000
Ru 2.297 0.000 0.000
```

Results
E_form, eV/atom: 1.6986
Size of the total moment, μB/cell: 2.5
Relative energy among the computed polymorphs, eV per formula unit: 3.246
D(E_F), states/eV/atom: 1.21

Below is crystalline Al2Hg at its relaxed geometry, with properties calculated at the GGA-PBE level.

Geometry as extended XYZ:
```
3
Lattice="3.046 0.000 0.000 0.000 3.046 0.000 -1.523 -1.523 6.215" Properties=species:S:1:pos:R:3 pbc="T T T"
Hg 0.000 0.000 0.000
Al 1.523 1.523 2.161
Al 0.000 0.000 4.053
```

Results
E_form, eV/atom: 0.1741
Size of the total moment, μB/cell: 0.0
Relative energy among the computed polymorphs, eV per formula unit: 0.200
D(E_F), states/eV/atom: 0.45

Below is crystalline SmEr2Tl3Te6 at its relaxed geometry, with properties calculated at the GGA-PBE level.

Geometry as extended XYZ:
```
12
Lattice="7.721 -0.001 0.000 -3.859 6.687 0.000 -1.288 -2.230 8.188" Properties=species:S:1:pos:R:3 pbc="T T T"
Te -1.312 2.275 1.752
Tl 1.287 2.228 4.094
Tl -2.598 4.472 4.094
Te 2.626 0.000 1.752
Tl 5.172 -0.015 4.094
Te -0.052 4.457 6.437
Er -0.002 4.460 0.000
Te 2.548 4.412 1.737
Te 3.886 2.182 6.437
Er 3.864 2.227 0.000
Te 0.026 0.045 6.451
Sm 0.000 0.000 0.000
```

Results
Raw formation energy, eV/atom: -1.05
Size of the total moment, μB/cell: 0.0

Below is crystalline Pm4SbRu at its relaxed geometry, with properties calculated at the GGA-PBE level.

Geometry as extended XYZ:
```
12
Lattice="-0.195 -5.758 2.642 4.132 4.832 5.512 -7.969 2.080 -0.996" Properties=species:S:1:pos:R:3 pbc="T T T"
Pm 2.014 -1.443 6.751
Pm 0.234 -1.933 3.540
Sb -4.527 -0.232 2.960
Sb 0.495 1.387 4.198
Pm -1.659 0.905 1.813
Ru -0.156 -4.316 1.986
Pm -2.373 0.249 5.345
Pm -2.680 -2.641 1.686
Pm -1.352 3.796 5.472
Ru -3.876 5.470 5.172
Pm -6.046 2.598 0.407
Pm -4.266 3.087 3.618
```

Results
Raw formation energy, eV/atom: -0.51
Size of the total moment, μB/cell: 0.0
D(E_F), states/eV/atom: 0.90

Below is crystalline Nd4TlCo at its relaxed geometry, with properties calculated at the GGA-PBE level.

Geometry as extended XYZ:
```
12
Lattice="-5.674 -0.368 2.849 0.179 -7.019 -3.531 4.675 -0.093 6.316" Properties=species:S:1:pos:R:3 pbc="T T T"
Nd 1.411 -2.159 6.611
Nd -1.992 -0.766 7.184
Co 3.255 -0.188 7.025
Nd -1.247 -4.777 5.424
Nd -2.230 -5.320 -0.976
Co -4.074 -7.292 -1.390
Tl 1.558 -2.802 3.307
Tl -2.377 -4.677 2.328
Nd 0.427 -2.702 0.211
Nd 0.789 -5.828 2.244
Nd 1.172 -6.713 -1.550
Nd -1.608 -1.651 3.391
```

Results
E_form, eV/atom: -0.1553
Size of the total moment, μB/cell: 0.0
Relative energy among the computed polymorphs, eV per formula unit: 0.041
D(E_F), states/eV/atom: 1.13

Below is crystalline CaZn3 at its relaxed geometry, with properties calculated at the GGA-PBE level.

Geometry as extended XYZ:
```
8
Lattice="4.536 0.000 0.000 0.000 6.387 0.001 0.000 3.194 5.531" Properties=species:S:1:pos:R:3 pbc="T T T"
Ca 1.134 3.193 1.844
Zn 1.134 8.195 4.731
Zn 3.402 1.387 0.801
Zn 1.134 4.581 4.731
Zn 3.402 5.001 0.801
Zn 3.402 3.194 3.930
Zn 1.134 6.387 1.602
Ca 3.402 6.388 3.688
```

Results
E_form, eV/atom: -0.1880
Size of the total moment, μB/cell: 0.0
D(E_F), states/eV/atom: 0.40

Below is crystalline Tb5Y2Sb5 at its relaxed geometry, with properties calculated at the GGA-PBE level.

Geometry as extended XYZ:
```
12
Lattice="-3.005 -3.152 -0.158 4.755 -1.240 -5.599 4.792 -5.098 10.504" Properties=species:S:1:pos:R:3 pbc="T T T"
Tb 4.940 -4.899 3.744
Tb 1.602 -4.591 1.002
Sb 3.573 -6.722 6.013
Sb 0.000 0.000 0.000
Tb 0.893 -4.125 5.173
Y 2.491 -5.237 -3.003
Y 4.051 -4.253 7.749
Tb -0.290 -2.661 -1.507
Sb 2.969 -2.768 -1.267
Sb 2.842 -2.870 3.181
Tb 6.832 -6.829 6.253
Sb 3.700 -6.620 1.566
```

Results
Raw formation energy, eV/atom: -0.87
Size of the total moment, μB/cell: 0.0
D(E_F), states/eV/atom: 0.69

Below is crystalline Er2LuAu at its relaxed geometry, with properties calculated at the GGA-PBE level.

Geometry as extended XYZ:
```
4
Lattice="3.606 0.000 0.000 1.803 3.123 0.000 1.803 1.041 10.707" Properties=species:S:1:pos:R:3 pbc="T T T"
Er 1.803 1.041 7.372
Er 5.409 3.123 3.335
Lu 0.000 0.000 0.000
Au 3.606 2.082 5.353
```

Results
E_form, eV/atom: -0.0402
Size of the total moment, μB/cell: 0.0
Relative energy among the computed polymorphs, eV per formula unit: 1.422
D(E_F), states/eV/atom: 1.27

Below is crystalline Ba6InN2 at its relaxed geometry, with properties calculated at the GGA-PBE level.

Geometry as extended XYZ:
```
9
Lattice="5.748 0.000 0.000 -2.874 6.910 -0.354 0.000 -2.574 9.970" Properties=species:S:1:pos:R:3 pbc="T T T"
In 0.000 -1.287 4.985
Ba 0.000 3.715 3.496
Ba 0.000 0.103 1.824
N 0.000 2.565 1.145
Ba 0.000 1.608 8.960
Ba 2.874 2.729 0.656
Ba 2.874 4.233 7.792
N 2.874 1.772 8.471
Ba 2.874 0.622 6.120
```

Results
Raw formation energy, eV/atom: -0.27
Size of the total moment, μB/cell: 0.6
D(E_F), states/eV/atom: 0.64

Below is crystalline Cs2BaH at its relaxed geometry, with properties calculated at the GGA-PBE level.

Geometry as extended XYZ:
```
4
Lattice="-3.845 -0.267 -2.353 -2.508 -3.750 0.192 -8.392 3.356 9.001" Properties=species:S:1:pos:R:3 pbc="T T T"
Cs -6.178 1.699 5.570
Cs -8.568 -2.360 1.271
H -7.373 -0.331 3.420
Ba 0.000 0.000 0.000
```

Results
Size of the total moment, μB/cell: 0.9
Relative energy among the computed polymorphs, eV per formula unit: 0.000
D(E_F), states/eV/atom: 0.57

Below is crystalline ScAg3Cl at its relaxed geometry, with properties calculated at the GGA-PBE level.

Geometry as extended XYZ:
```
5
Lattice="-4.065 2.195 1.909 -1.209 -4.258 2.321 2.646 1.426 3.994" Properties=species:S:1:pos:R:3 pbc="T T T"
Sc -1.314 -0.319 4.112
Cl 0.000 0.000 0.000
Ag -2.032 1.097 0.955
Ag 1.323 0.713 1.997
Ag -0.605 -2.129 1.161
```

Results
Raw formation energy, eV/atom: 0.64
Size of the total moment, μB/cell: 0.8
Relative energy among the computed polymorphs, eV per formula unit: 0.000
D(E_F), states/eV/atom: 0.80